Zn2POs: relaxed, PBE-GGA.

The structure in POSCAR format:
```
Zn2POs
1.0
6.094 0.000 0.000
0.000 6.094 0.000
0.000 0.000 6.094
Zn P Os
8 4 4
direct
0.000 0.000 0.000 Zn
0.000 0.500 0.500 Zn
0.250 0.250 0.250 Zn
0.250 0.750 0.750 Zn
0.500 0.000 0.500 Zn
0.500 0.500 0.000 Zn
0.750 0.250 0.750 Zn
0.750 0.750 0.250 Zn
0.250 0.250 0.750 P
0.250 0.750 0.250 P
0.750 0.250 0.250 P
0.750 0.750 0.750 P
0.000 0.000 0.500 Os
0.000 0.500 0.000 Os
0.500 0.000 0.000 Os
0.500 0.500 0.500 Os
```

Results
- ρ (Mg/m³) = 10.330
- space-group type = F-43m (216)
- DFT total energy (eV per formula unit) = -17.59

ZnP4Os2: relaxed, PBE-GGA.

The structure in POSCAR format:
```
ZnP4Os2
1.0
4.479 0.000 0.000
0.000 4.479 0.000
0.000 0.000 12.563
Zn P Os
2 8 4
direct
0.000 0.000 0.000 Zn
0.500 0.500 0.500 Zn
0.000 0.000 0.222 P
0.000 0.000 0.778 P
0.000 0.500 0.000 P
0.000 0.500 0.500 P
0.500 0.000 0.000 P
0.500 0.000 0.500 P
0.500 0.500 0.278 P
0.500 0.500 0.722 P
0.000 0.000 0.394 Os
0.000 0.000 0.606 Os
0.500 0.500 0.106 Os
0.500 0.500 0.894 Os
```

Results
- ρ (Mg/m³) = 7.507
- space-group type = I4/mmm (139)
- DFT total energy (eV per formula unit) = -39.48

ZnPOs2: relaxed, PBE-GGA.

The structure in POSCAR format:
```
ZnPOs2
1.0
4.332 0.000 0.000
0.000 2.846 0.000
-2.067 0.000 4.476
Zn P Os
1 1 2
direct
0.000 0.000 0.000 Zn
0.000 0.500 0.500 P
0.500 0.000 0.500 Os
0.500 0.500 0.000 Os
```

Results
- ρ (Mg/m³) = 14.347
- ΔE to the lowest computed polymorph (meV per atom) = 176
- space-group type = P2/m (10)

ZnPOs2: relaxed, PBE-GGA.

The structure in POSCAR format:
```
ZnPOs2
1.0
2.796 0.000 0.000
0.000 4.751 0.000
0.000 0.000 8.930
Zn P Os
2 2 4
direct
0.000 0.000 0.000 Zn
0.500 0.500 0.000 Zn
0.000 0.500 0.725 P
0.500 0.000 0.725 P
0.000 0.000 0.506 Os
0.000 0.500 0.249 Os
0.500 0.000 0.249 Os
0.500 0.500 0.506 Os
```

Results
- ρ (Mg/m³) = 13.349
- ΔE to the lowest computed polymorph (meV per atom) = 422
- space-group type = Cmm2 (35)